{
  "formula": "BaVIrO6",
  "functional": "PBE+U",
  "state": "relaxed",
  "lattice": [[5.248, 0.000, 0.000], [2.624, 4.545, 0.000], [0.000, 0.000, 5.738]],
  "species": ["Ba", "V", "Ir", "O", "O", "O", "O", "O", "O"],
  "fractional_positions": [[0.000, 0.000, 0.000], [0.667, 0.667, 0.500], [0.333, 0.333, 0.500], [0.991, 0.390, 0.314], [0.390, 0.991, 0.685], [0.618, 0.391, 0.685], [0.991, 0.618, 0.685], [0.390, 0.618, 0.314], [0.618, 0.991, 0.314]],
  "n_ef_per_ev_atom": 0.43,
  "total_magnetization_mub_per_fu": 2.0,
  "total_energy_ry_per_atom": -0.5146
}